# 1
Compound: Mg5Ru4
Source: Alexandria
Functional: GGA-PBE
Structure: optimized geometry

Cell lengths 7.113, 7.113, 7.113 Å; angles 92.60, 92.60, 155.41 degrees
Fractional coordinates of all 9 atoms:
Mg 0.000 0.000 0.000
Mg 0.332 0.332 0.663
Mg 0.332 0.668 0.000
Mg 0.668 0.332 0.000
Mg 0.668 0.668 0.337
Ru 0.000 0.343 0.343
Ru 0.000 0.657 0.657
Ru 0.343 0.000 0.343
Ru 0.657 0.000 0.657

Output
As for the space group: I4/mmm. Its energy relative to the lowest polymorph listed for this composition is 108 meV/atom. As for the raw total energy: -4.8131 eV/atom.

# 2
Compound: YTcPb2O
Source: Alexandria
Functional: GGA-PBE
Structure: optimized geometry

Cell lengths 5.347, 5.347, 3.835 Å; angles 90.00, 90.00, 90.00 degrees
Fractional coordinates of all 5 atoms:
Y 0.000 0.000 0.000
Tc 0.500 0.500 0.000
Pb 0.000 0.500 0.500
Pb 0.500 0.000 0.500
O 0.500 0.500 0.500

Output
As for the space group: P4/mmm. As for the raw total energy: -6.1602 eV/atom. The value obtained for the uncorrected formation energy is -0.319 eV per atom.